## CaBe2In (GGA-PBEsol)

Data for a geometry-optimized CaBe2In structure.

Values from the calculation:
The spin magnetization is 0.00 μB per cell. The calculation puts the total energy at -11.6 eV/cell. Its symmetry is No. 123.

Geometry as POSCAR:
```
CaBe2In
1.0
3.3480 0.0000 0.0000
0.0000 3.3480 0.0000
0.0000 0.0000 6.5699
Ca Be In
1 2 1
Cartesian
0.0000 0.0000 0.0000
1.6740 1.6740 2.0341
1.6740 1.6740 4.5358
0.0000 0.0000 3.2849
```

=====

## CaBe2In (GGA-PBEsol)

Data for a geometry-optimized CaBe2In structure.

Values from the calculation:
The spin magnetization is 0.00 μB per cell. The calculation puts the total energy at -11.9 eV/cell. Its symmetry is No. 44.

Geometry as POSCAR:
```
CaBe2In
1.0
-2.0539 2.4995 3.5792
2.0539 -2.4995 3.5792
2.0539 2.4995 -3.5792
Ca Be In
1 2 1
Cartesian
0.0000 0.0000 0.0000
2.0539 0.0000 2.2267
0.0000 0.0000 2.9493
0.0000 2.4995 1.4191
```

=====

## CaBeIn2 (GGA-PBEsol)

Data for a geometry-optimized CaBeIn2 structure.

Values from the calculation:
The spin magnetization is 0.00 μB per cell. The calculation puts the total energy at -11.7 eV/cell. Its symmetry is No. 44.

Geometry as POSCAR:
```
CaBeIn2
1.0
-2.1435 2.3132 4.4988
2.1435 -2.3132 4.4988
2.1435 2.3132 -4.4988
Ca Be In
1 1 2
Cartesian
0.0000 0.0000 0.0000
0.0000 2.3132 2.1082
2.1435 0.0000 2.4305
0.0000 0.0000 4.9772
```